Entry 1:
Material: Hf3CrIr
Method: DFT, SCAN
State: PBEsol geometry

a b c (Å): 4.5953 4.5953 4.5953
angles (deg): 90.00 90.00 90.00
Element x y z (fractional)
Cr 0.0000 0.0000 0.0000
Ir 0.5000 0.5000 0.5000
Hf 0.0000 0.5000 0.0000
Hf 0.0000 0.0000 0.5000
Hf 0.5000 0.0000 0.0000

Summary:
* symmetry: Pm-3m
* calculated volume: 97.0 Å³/cell
* N(E_F): 1.059 states/eV/atom
* mass density: 13.3 Mg/m³
* crystal system: cubic
* magnetic moment: 0.000 μB per cell
* ΔE_f: 2.94 eV per formula unit


Entry 2:
Material: KHfCr2
Method: DFT, SCAN
State: PBEsol geometry

a b c (Å): 4.8469 4.8469 4.8469
angles (deg): 60.00 60.00 60.00
Element x y z (fractional)
Cr 0.2500 0.2500 0.2500
Cr 0.7500 0.7500 0.7500
K 0.0000 0.0000 0.0000
Hf 0.5000 0.5000 0.5000

Summary:
* symmetry: Fm-3m
* calculated volume: 80.5 Å³/cell
* N(E_F): 0.695 states/eV/atom
* mass density: 6.6 Mg/m³
* crystal system: cubic
* magnetic moment: 6.899 μB per cell
* ΔE_f: 4.62 eV per formula unit


Entry 3:
Material: KHf2CrSb
Method: DFT, SCAN
State: PBEsol geometry

a b c (Å): 4.8807 4.8807 5.0586
angles (deg): 90.00 90.00 90.00
Element x y z (fractional)
Sb 0.0000 0.0000 0.5000
K 0.5000 0.5000 0.5000
Hf 0.0000 0.5000 0.0000
Hf 0.5000 0.0000 0.0000
Cr 0.0000 0.0000 0.0000

Summary:
* symmetry: P4/mmm
* calculated volume: 120.5 Å³/cell
* N(E_F): 0.729 states/eV/atom
* mass density: 7.9 Mg/m³
* crystal system: tetragonal
* magnetic moment: 0.000 μB per cell
* formation energy without anion corrections: 0.5626 eV/atom


Entry 4:
Material: NaLaHf2Cr
Method: DFT, SCAN
State: PBEsol geometry

a b c (Å): 4.8402 5.0554 5.0554
angles (deg): 90.00 90.00 90.00
Element x y z (fractional)
Na 0.0000 0.0000 0.0000
Cr 0.5000 0.0000 0.0000
Hf 0.0000 0.0000 0.5000
Hf 0.0000 0.5000 0.0000
La 0.5000 0.5000 0.5000

Summary:
* symmetry: P4/mmm
* calculated volume: 123.7 Å³/cell
* N(E_F): 1.069 states/eV/atom
* mass density: 7.7 Mg/m³
* crystal system: tetragonal
* magnetic moment: 3.635 μB per cell
* ΔE_f: 6.41 eV per formula unit


Entry 5:
Material: NaLiHf2Cr
Method: DFT, SCAN
State: PBEsol geometry

a b c (Å): 4.3441 4.8004 4.8004
angles (deg): 90.00 90.00 90.00
Element x y z (fractional)
Cr 0.5000 0.5000 0.5000
Li 0.0000 0.0000 0.0000
Hf 0.0000 0.0000 0.5000
Hf 0.0000 0.5000 0.0000
Na 0.5000 0.0000 0.0000

Summary:
* symmetry: P4/mmm
* calculated volume: 100.1 Å³/cell
* N(E_F): 1.234 states/eV/atom
* mass density: 7.3 Mg/m³
* crystal system: tetragonal
* magnetic moment: 3.525 μB per cell
* ΔE_f: 6.17 eV per formula unit


Entry 6:
Material: HfMn3Cr
Method: DFT, SCAN
State: PBEsol geometry

a b c (Å): 4.6217 4.6217 4.6217
angles (deg): 90.00 90.00 90.00
Element x y z (fractional)
Cr 0.5000 0.5000 0.5000
Mn 0.0000 0.5000 0.0000
Mn 0.0000 0.0000 0.5000
Mn 0.5000 0.0000 0.0000
Hf 0.0000 0.0000 0.0000

Summary:
* symmetry: Pm-3m
* calculated volume: 98.7 Å³/cell
* N(E_F): 0.571 states/eV/atom
* mass density: 6.6 Mg/m³
* crystal system: cubic
* magnetic moment: 13.988 μB per cell
* ΔE_f: 6.22 eV per formula unit